# 1
# Sr2Mg3CdAg2

A relaxed Sr2Mg3CdAg2 crystal (GGA-PBE, the Open Quantum Materials Database).

The calculation puts the total energy at -1.892 eV per atom.

It has space group Cm (No. 8), with a = 15.8582 Å, b = 5.7173 Å, c = 5.0247 Å, α = 90.00°, β = 90.20° and γ = 90.00°. The inequivalent atoms are Sr at (0.0000, 0.0000, 0.0000), Sr at (0.1807, 0.5000, 0.9947), Mg at (0.0081, 0.5000, 0.5113), Mg at (0.1459, 0.0000, 0.5094), Mg at (0.3902, 0.0000, 0.0226), Cd at (0.3515, 0.5000, 0.4887), Ag at (0.2194, 0.0000, 0.0158) and Ag at (0.3213, 0.0000, 0.5235).

# 2
# Hf5Cd3Ag

A relaxed Hf5Cd3Ag crystal (GGA-PBE, the Open Quantum Materials Database).

The calculation puts the total energy at -6.003 eV per atom. For the total magnetization, the calculation gives 0.0017 μB/atom. The value obtained for the formation energy is 0.14 eV/atom.

It has space group P-62m (No. 189), with a = 8.6007 Å, b = 8.6007 Å, c = 2.9405 Å, α = 90.00°, β = 90.00° and γ = 120.00°. The inequivalent atoms are Hf at (0.0000, 0.2870, 0.0000), Hf at (0.3333, 0.6667, 0.0000), Cd at (0.0000, 0.6329, 0.5000) and Ag at (0.0000, 0.0000, 0.5000).

# 3
# Rb2ZrAg2S4

A relaxed Rb2ZrAg2S4 crystal (GGA-PBE, the Open Quantum Materials Database).

The calculation puts the total energy at -4.656 eV per atom. For the total magnetization, the calculation gives 0.0002 μB/atom.

It has space group C222 (No. 21), with a = 6.1313 Å, b = 13.6837 Å, c = 6.1129 Å, α = 90.00°, β = 90.00° and γ = 90.00°. The inequivalent atoms are Rb at (0.2500, 0.2500, 0.2400), Zr at (0.0000, 0.0000, 0.5000), Ag at (0.0000, 0.0000, 0.0000), Ag at (0.0000, 0.5000, 0.5000) and S at (0.2265, 0.1057, 0.7267).

# 4
# SrGe2Pd5

A relaxed SrGe2Pd5 crystal (GGA-PBE, the Open Quantum Materials Database).

The calculation puts the total energy at -5.227 eV per atom.

It has space group Immm (No. 71), with a = 4.0082 Å, b = 7.2408 Å, c = 10.1611 Å, α = 90.00°, β = 90.00° and γ = 90.00°. The inequivalent atoms are Sr at (0.0000, 0.0000, 0.0000), Ge at (0.0000, 0.5000, 0.2422), Pd at (0.0000, 0.1938, 0.3499) and Pd at (0.0000, 0.5000, 0.0000).

# 5
# PmPt

A relaxed PmPt crystal (GGA-PBE, the Open Quantum Materials Database).

The calculation puts the total energy at -6.574 eV per atom. For the total magnetization, the calculation gives 0.0026 μB/atom. The value obtained for the formation energy is -1.17 eV/atom.

It has space group Cmcm (No. 63), with a = 3.8869 Å, b = 10.7946 Å, c = 4.5321 Å, α = 90.00°, β = 90.00° and γ = 90.00°. The inequivalent atoms are Pm at (0.0000, 0.1376, 0.2500) and Pt at (0.0000, 0.4120, 0.2500).

# 6
# RbMoSe2

A relaxed RbMoSe2 crystal (GGA-PBE, the Open Quantum Materials Database).

The calculation puts the total energy at -5.365 eV per atom. For the total magnetization, the calculation gives 0.0008 μB/atom.

It has space group C2/c (No. 15), with a = 7.4324 Å, b = 12.2988 Å, c = 5.9484 Å, α = 90.00°, β = 113.92° and γ = 90.00°. The inequivalent atoms are Rb at (0.0000, 0.1422, 0.2500), Mo at (0.0000, 0.4993, 0.7500) and Se at (0.2009, 0.3884, 0.1040).

# 7
# KCuReSe3

A relaxed KCuReSe3 crystal (GGA-PBE, the Open Quantum Materials Database).

The calculation puts the total energy at -4.914 eV per atom. For the total magnetization, the calculation gives 0.3751 μB/atom.

It has space group Cmcm (No. 63), with a = 3.7789 Å, b = 14.8626 Å, c = 9.7739 Å, α = 90.00°, β = 90.00° and γ = 90.00°. The inequivalent atoms are K at (0.0000, 0.2425, 0.2500), Cu at (0.0000, 0.4669, 0.7500), Re at (0.0000, 0.0000, 0.0000), Se at (0.0000, 0.0692, 0.7500) and Se at (0.0000, 0.3836, 0.5410).

# 8
# GdZr3

A relaxed GdZr3 crystal (GGA-PBE, the Open Quantum Materials Database).

The calculation puts the total energy at -7.505 eV per atom. For the total magnetization, the calculation gives 0.0004 μB/atom. The value obtained for the formation energy is 0.07 eV/atom.

It has space group Cmcm (No. 63), with a = 6.6508 Å, b = 11.4811 Å, c = 5.2512 Å, α = 90.00°, β = 90.00° and γ = 90.00°. The inequivalent atoms are Gd at (0.0000, 0.0866, 0.2500), Zr at (0.0000, 0.4175, 0.7500) and Zr at (0.2410, 0.3309, 0.2500).

# 9
# MgCdNO

A relaxed MgCdNO crystal (GGA-PBE, the Open Quantum Materials Database).

The calculation puts the total energy at -4.518 eV per atom.

It has space group Pmc2_1 (No. 26), with a = 3.2825 Å, b = 6.1631 Å, c = 5.6379 Å, α = 90.00°, β = 90.00° and γ = 90.00°. The inequivalent atoms are Mg at (0.0000, 0.1770, 0.0000), Cd at (0.5000, 0.3240, 0.5067), N at (0.0000, 0.1321, 0.3658) and O at (0.5000, 0.3301, 0.9062).

# 10
# LuFeReB

A relaxed LuFeReB crystal (GGA-PBE, the Open Quantum Materials Database).

The calculation puts the total energy at -7.175 eV per atom. For the total magnetization, the calculation gives 0.7170 μB/atom.

It has space group F-43m (No. 216), with a = 6.1307 Å, b = 6.1307 Å, c = 6.1307 Å, α = 90.00°, β = 90.00° and γ = 90.00°. The inequivalent atoms are Lu at (0.0000, 0.0000, 0.0000), Fe at (0.0000, 0.0000, 0.5000), Re at (0.2500, 0.2500, 0.7500) and B at (0.2500, 0.2500, 0.2500).

# 11
# SmDyNO

A relaxed SmDyNO crystal (GGA-PBE, the Open Quantum Materials Database).

The calculation puts the total energy at -7.283 eV per atom. For the total magnetization, the calculation gives 0.1206 μB/atom.

It has space group P4/nmm (No. 129, origin choice 2), with a = 4.2679 Å, b = 4.2679 Å, c = 7.8464 Å, α = 90.00°, β = 90.00° and γ = 90.00°. The inequivalent atoms are Sm at (0.2500, 0.7500, 0.0000), Dy at (0.2500, 0.2500, 0.3987), N at (0.2500, 0.2500, 0.8544) and O at (0.2500, 0.7500, 0.5000).

# 12
# LuAlIr

A relaxed LuAlIr crystal (GGA-PBE, the Open Quantum Materials Database).

The calculation puts the total energy at -6.559 eV per atom. For the total magnetization, the calculation gives 0.0017 μB/atom.

It has space group P6_3mc (No. 186), with a = 4.4263 Å, b = 4.4263 Å, c = 6.5716 Å, α = 90.00°, β = 90.00° and γ = 120.00°. The inequivalent atoms are Lu at (0.0000, 0.0000, 0.0000), Al at (0.3333, 0.6667, 0.2439) and Ir at (0.3333, 0.6667, 0.7640).

# 13
# ZrBeReAs

A relaxed ZrBeReAs crystal (GGA-PBE, the Open Quantum Materials Database).

The calculation puts the total energy at -7.041 eV per atom. For the total magnetization, the calculation gives 0.0003 μB/atom.

It has space group F-43m (No. 216), with a = 6.3100 Å, b = 6.3100 Å, c = 6.3100 Å, α = 90.00°, β = 90.00° and γ = 90.00°. The inequivalent atoms are Zr at (0.0000, 0.0000, 0.0000), Be at (0.0000, 0.0000, 0.5000), Re at (0.2500, 0.2500, 0.7500) and As at (0.2500, 0.2500, 0.2500).

# 14
# ErBeNO

A relaxed ErBeNO crystal (GGA-PBE, the Open Quantum Materials Database).

The calculation puts the total energy at -7.389 eV per atom. For the total magnetization, the calculation gives 0.0002 μB/atom.

It has space group Pmc2_1 (No. 26), with a = 3.4586 Å, b = 5.4908 Å, c = 4.8138 Å, α = 90.00°, β = 90.00° and γ = 90.00°. The inequivalent atoms are Er at (0.0000, 0.2135, 0.0000), Be at (0.5000, 0.3292, 0.5286), N at (0.0000, 0.1919, 0.4812) and O at (0.5000, 0.4090, 0.8586).

# 15
# Cs3PdCl6

A relaxed Cs3PdCl6 crystal (GGA-PBE, the Open Quantum Materials Database).

The calculation puts the total energy at -3.212 eV per atom.

It has space group Fm-3m (No. 225), with a = 11.1962 Å, b = 11.1962 Å, c = 11.1962 Å, α = 90.00°, β = 90.00° and γ = 90.00°. The inequivalent atoms are Cs at (0.0000, 0.0000, 0.0000), Cs at (0.2500, 0.2500, 0.2500), Pd at (0.0000, 0.0000, 0.5000) and Cl at (0.0000, 0.0000, 0.2835).

# 16
# NbMoIr

A relaxed NbMoIr crystal (GGA-PBE, the Open Quantum Materials Database).

The calculation puts the total energy at -9.623 eV per atom. For the total magnetization, the calculation gives 0.0054 μB/atom. The value obtained for the formation energy is 0.31 eV/atom.

It has space group F-43m (No. 216), with a = 6.1179 Å, b = 6.1179 Å, c = 6.1179 Å, α = 90.00°, β = 90.00° and γ = 90.00°. The inequivalent atoms are Nb at (0.0000, 0.0000, 0.0000), Mo at (0.0000, 0.0000, 0.5000) and Ir at (0.2500, 0.2500, 0.7500).

# 17
# LuAgPb2

A relaxed LuAgPb2 crystal (GGA-PBE, the Open Quantum Materials Database).

The calculation puts the total energy at -3.741 eV per atom. For the total magnetization, the calculation gives 0.0001 μB/atom.

It has space group F-43m (No. 216), with a = 7.5110 Å, b = 7.5110 Å, c = 7.5110 Å, α = 90.00°, β = 90.00° and γ = 90.00°. The inequivalent atoms are Lu at (0.0000, 0.0000, 0.0000), Ag at (0.2500, 0.2500, 0.7500), Pb at (0.0000, 0.0000, 0.5000) and Pb at (0.2500, 0.2500, 0.2500).

# 18
# LiNbTeAuS2

A relaxed LiNbTeAuS2 crystal (GGA-PBE, the Open Quantum Materials Database).

The calculation puts the total energy at -4.992 eV per atom. For the total magnetization, the calculation gives 0.0007 μB/atom.

It has space group Cmcm (No. 63), with a = 3.4745 Å, b = 13.6670 Å, c = 10.2142 Å, α = 90.00°, β = 90.00° and γ = 90.00°. The inequivalent atoms are Li at (0.0000, 0.2058, 0.2500), Nb at (0.0000, 0.0000, 0.0000), Te at (0.0000, 0.1180, 0.7500), Au at (0.0000, 0.4499, 0.7500) and S at (0.0000, 0.3687, 0.5430).

# 19
# ErMgBi

A relaxed ErMgBi crystal (GGA-PBE, the Open Quantum Materials Database).

The calculation puts the total energy at -3.450 eV per atom. For the total magnetization, the calculation gives 0.0005 μB/atom.

It has space group F-43m (No. 216), with a = 7.1747 Å, b = 7.1747 Å, c = 7.1747 Å, α = 90.00°, β = 90.00° and γ = 90.00°. The inequivalent atoms are Er at (0.0000, 0.0000, 0.0000), Mg at (0.0000, 0.0000, 0.5000) and Bi at (0.2500, 0.2500, 0.2500).

# 20
# In2SnMo

A relaxed In2SnMo crystal (GGA-PBE, the Open Quantum Materials Database).

The calculation puts the total energy at -4.431 eV per atom. For the total magnetization, the calculation gives 0.4581 μB/atom.

It has space group F-43m (No. 216), with a = 7.0681 Å, b = 7.0681 Å, c = 7.0681 Å, α = 90.00°, β = 90.00° and γ = 90.00°. The inequivalent atoms are In at (0.0000, 0.0000, 0.0000), In at (0.2500, 0.2500, 0.2500), Sn at (0.2500, 0.2500, 0.7500) and Mo at (0.0000, 0.0000, 0.5000).

# 21
# Sr2CdAsP

A relaxed Sr2CdAsP crystal (GGA-PBE, the Open Quantum Materials Database).

The calculation puts the total energy at -3.795 eV per atom.

It has space group Cmc2_1 (No. 36), with a = 4.4264 Å, b = 16.9732 Å, c = 7.5289 Å, α = 90.00°, β = 90.00° and γ = 90.00°. The inequivalent atoms are Sr at (0.0000, 0.0341, 0.0000), Sr at (0.0000, 0.1989, 0.3358), Cd at (0.0000, 0.4051, 0.1539), As at (0.0000, 0.1767, 0.7506) and P at (0.0000, 0.4398, 0.7955).

# 22
# NaTbMgSe3

A relaxed NaTbMgSe3 crystal (GGA-PBE, the Open Quantum Materials Database).

The calculation puts the total energy at -4.474 eV per atom. For the total magnetization, the calculation gives 0.0004 μB/atom.

It has space group P2_1/m (No. 11), with a = 8.2867 Å, b = 4.2172 Å, c = 10.4446 Å, α = 90.00°, β = 105.62° and γ = 90.00°. The inequivalent atoms are Na at (0.1854, 0.2500, 0.1633), Tb at (0.3291, 0.7500, 0.8579), Mg at (0.0731, 0.2500, 0.6090), Se at (0.0834, 0.2500, 0.8550), Se at (0.2253, 0.7500, 0.5596) and Se at (0.4356, 0.7500, 0.1432).

# 23
# NaFeGeTe3

A relaxed NaFeGeTe3 crystal (GGA-PBE, the Open Quantum Materials Database).

The calculation puts the total energy at -4.131 eV per atom. For the total magnetization, the calculation gives 0.1653 μB/atom.

It has space group P2_1/m (No. 11), with a = 7.6444 Å, b = 3.9940 Å, c = 11.0892 Å, α = 90.00°, β = 106.65° and γ = 90.00°. The inequivalent atoms are Na at (0.0527, 0.2500, 0.1898), Fe at (0.4569, 0.7500, 0.8615), Ge at (0.3880, 0.2500, 0.5379), Te at (0.2128, 0.7500, 0.6311), Te at (0.2855, 0.2500, 0.9311) and Te at (0.3833, 0.7500, 0.2235).

# 24
# Hg3PI6

A relaxed Hg3PI6 crystal (GGA-PBE, the Open Quantum Materials Database).

The calculation puts the total energy at -1.576 eV per atom.

It has space group P-31m (No. 162), with a = 7.8307 Å, b = 7.8307 Å, c = 7.3490 Å, α = 90.00°, β = 90.00° and γ = 120.00°. The inequivalent atoms are Hg at (0.0000, 0.0000, 0.0000), Hg at (0.3333, 0.6667, 0.0000), P at (0.0000, 0.0000, 0.5000) and I at (0.0000, 0.2928, 0.7236).

# 25
# ThTaRe

A relaxed ThTaRe crystal (GGA-PBE, the Open Quantum Materials Database).

The calculation puts the total energy at -10.160 eV per atom. For the total magnetization, the calculation gives 0.0864 μB/atom. The value obtained for the formation energy is 0.40 eV/atom.

It has space group F-43m (No. 216), with a = 6.6116 Å, b = 6.6116 Å, c = 6.6116 Å, α = 90.00°, β = 90.00° and γ = 90.00°. The inequivalent atoms are Th at (0.0000, 0.0000, 0.0000), Ta at (0.0000, 0.0000, 0.5000) and Re at (0.2500, 0.2500, 0.2500).